Entry from Alexandria: crystalline ThNpCo4 at its relaxed geometry (PBE).

Cell and atoms, written as POSCAR:
```
ThNpCo4
1.0
0.0000 3.5528 3.5528
3.5528 0.0000 3.5528
3.5528 3.5528 0.0000
Th Np Co
1 1 4
Direct
0.0000 0.0000 0.0000 Th
0.7500 0.7500 0.7500 Np
0.3767 0.3767 0.3767 Co
0.3767 0.3767 0.8699 Co
0.3767 0.8699 0.3767 Co
0.8699 0.3767 0.3767 Co
```

Values from the calculation:
* magnetic moment: 1.7 Bohr magnetons per cell
* E_form: -0.74 eV/f.u.
* DOS(E_F): 8.56 states/eV/cell
* raw total energy: -49.52 eV for the cell shown